First-principles (PBE) data for KZnW2 after structural relaxation, as listed in Alexandria.

The structure in extended XYZ format:
```
4
Lattice="2.6887 0.0000 0.0000 0.0000 4.3704 0.0000 0.0000 0.0000 7.7676" Properties=species:S:1:pos:R:3 pbc="T T T"
K 0.0000 0.0000 0.0000
Zn 0.0000 0.0000 3.8838
W 1.3443 2.1852 2.6877
W 1.3443 2.1852 5.0799
```

Values from the calculation:
Volume = 91.3 Å³/f.u.
Space-group type = Pmmm (47)
E_form = 1.12 eV/atom
Magnetization = 0.0 μB/f.u.

***

First-principles (PBE) data for KZnW2 after structural relaxation, as listed in Alexandria.

The structure in extended XYZ format:
```
4
Lattice="0.0000 3.3200 3.3200 3.3200 0.0000 3.3200 3.3200 3.3200 0.0000" Properties=species:S:1:pos:R:3 pbc="T T T"
K 0.0000 0.0000 0.0000
Zn 1.6600 1.6600 1.6600
W 3.3200 3.3200 3.3200
W 4.9801 4.9801 4.9801
```

Values from the calculation:
Volume = 73.2 Å³/f.u.
Space-group type = F-43m (216)
E_form = 1.44 eV/atom
Magnetization = 0.2 μB/f.u.

***

First-principles (PBE) data for KZnW2 after structural relaxation, as listed in Alexandria.

The structure in extended XYZ format:
```
4
Lattice="4.4519 -1.3361 0.0000 4.4519 1.3361 0.0000 -0.2555 0.0000 7.6011" Properties=species:S:1:pos:R:3 pbc="T T T"
K 0.0000 0.0000 0.0000
Zn 6.6294 0.0000 2.5487
W 1.9422 0.0000 5.0166
W 4.2096 0.0000 3.8091
```

Values from the calculation:
Volume = 90.4 Å³/f.u.
Space-group type = Cm (8)
E_form = 0.92 eV/atom
Magnetization = 0.0 μB/f.u.

***

First-principles (PBE) data for KZn2W after structural relaxation, as listed in Alexandria.

The structure in extended XYZ format:
```
4
Lattice="2.6807 0.0000 0.0000 0.0000 3.6501 0.0000 0.0000 0.0000 8.6648" Properties=species:S:1:pos:R:3 pbc="T T T"
K 0.0000 0.0000 0.0000
Zn 0.0000 0.0000 4.4332
Zn 1.3404 1.8251 5.9012
W 1.3404 1.8251 2.9694
```

Values from the calculation:
Volume = 84.8 Å³/f.u.
Space-group type = Pmm2 (25)
Excess energy over the best structure of this formula in the dataset = 0.91 eV per formula unit
E_form = 0.76 eV/atom
Magnetization = 0.0 μB/f.u.

***

First-principles (PBE) data for KZn2W after structural relaxation, as listed in Alexandria.

The structure in extended XYZ format:
```
4
Lattice="2.7611 0.0000 0.0000 0.0000 2.7611 0.0000 0.0000 0.0000 10.0090" Properties=species:S:1:pos:R:3 pbc="T T T"
K 0.0000 0.0000 0.0000
Zn 0.0000 0.0000 5.0709
Zn 1.3806 1.3806 7.1352
W 1.3806 1.3806 3.0691
```

Values from the calculation:
Volume = 76.3 Å³/f.u.
Space-group type = P4mm (99)
Excess energy over the best structure of this formula in the dataset = 0.57 eV per formula unit
E_form = 0.67 eV/atom
Magnetization = 0.0 μB/f.u.

***

First-principles (PBE) data for KZn2W after structural relaxation, as listed in Alexandria.

The structure in extended XYZ format:
```
4
Lattice="-1.3300 2.6874 5.5315 1.3300 -2.6874 5.5315 1.3300 2.6874 -5.5315" Properties=species:S:1:pos:R:3 pbc="T T T"
K 0.0000 0.0000 0.0000
Zn 0.0000 0.0000 5.5344
Zn 0.0000 2.6874 2.4981
W 1.3300 0.0000 3.2235
```

Values from the calculation:
Volume = 79.1 Å³/f.u.
Space-group type = Imm2 (44)
Excess energy over the best structure of this formula in the dataset = 1.13 eV per formula unit
E_form = 0.81 eV/atom
Magnetization = 0.0 μB/f.u.

***

First-principles (PBE) data for KZnW2 after structural relaxation, as listed in Alexandria.

The structure in extended XYZ format:
```
4
Lattice="2.8314 -5.4703 0.0000 2.8314 5.4703 0.0000 -1.0498 0.0000 2.4698" Properties=species:S:1:pos:R:3 pbc="T T T"
K 0.0000 0.0000 0.0000
Zn 2.8314 0.0000 0.0000
W 0.8908 2.7351 1.2349
W 0.8908 -2.7351 1.2349
```

Values from the calculation:
Volume = 76.5 Å³/f.u.
Space-group type = C2/m (12)
E_form = 1.31 eV/atom
Magnetization = 0.0 μB/f.u.

***

First-principles (PBE) data for KZn2W after structural relaxation, as listed in Alexandria.

The structure in extended XYZ format:
```
4
Lattice="1.4448 0.8341 10.4951 -1.4448 0.8341 10.4951 0.0000 -1.6683 10.4951" Properties=species:S:1:pos:R:3 pbc="T T T"
K 0.0000 0.0000 0.0000
Zn 0.0000 0.0000 7.5086
Zn 0.0000 0.0000 23.9766
W 0.0000 0.0000 15.7426
```

Values from the calculation:
Volume = 75.9 Å³/f.u.
Space-group type = R-3m (166)
Excess energy over the best structure of this formula in the dataset = 0.30 eV per formula unit
E_form = 0.60 eV/atom
Magnetization = 0.0 μB/f.u.

***

First-principles (PBE) data for KZnW2 after structural relaxation, as listed in Alexandria.

The structure in extended XYZ format:
```
4
Lattice="-1.3298 2.5070 5.7677 1.3298 -2.5070 5.7677 1.3298 2.5070 -5.7677" Properties=species:S:1:pos:R:3 pbc="T T T"
K 0.0000 0.0000 0.0000
Zn 0.0000 0.0000 5.7677
W 1.3298 0.0000 3.3124
W 0.0000 2.5070 2.4554
```

Values from the calculation:
Volume = 76.9 Å³/f.u.
Space-group type = Immm (71)
E_form = 0.93 eV/atom
Magnetization = 0.0 μB/f.u.

***

First-principles (PBE) data for KZn3W after structural relaxation, as listed in Alexandria.

The structure in extended XYZ format:
```
5
Lattice="4.8623 0.0000 0.0000 0.0000 4.8623 0.0000 0.0000 0.0000 4.8623" Properties=species:S:1:pos:R:3 pbc="T T T"
K 0.0000 0.0000 0.0000
Zn 0.0000 0.0000 2.4312
Zn 0.0000 2.4312 0.0000
Zn 2.4312 0.0000 0.0000
W 2.4312 2.4312 2.4312
```

Values from the calculation:
Volume = 115.0 Å³/f.u.
Space-group type = Pm-3m (221)
Excess energy over the best structure of this formula in the dataset = 7.58 eV per formula unit
E_form = 2.26 eV/atom
Magnetization = 0.0 μB/f.u.

***

First-principles (PBE) data for KZn2W after structural relaxation, as listed in Alexandria.

The structure in extended XYZ format:
```
4
Lattice="-2.0089 2.0089 4.8898 2.0089 -2.0089 4.8898 2.0089 2.0089 -4.8898" Properties=species:S:1:pos:R:3 pbc="T T T"
K 0.0000 0.0000 0.0000
Zn 0.0000 0.0000 4.8898
Zn 0.0000 2.0089 2.4449
W 2.0089 0.0000 2.4449
```

Values from the calculation:
Volume = 78.9 Å³/f.u.
Space-group type = I-4m2 (119)
Excess energy over the best structure of this formula in the dataset = 3.04 eV per formula unit
E_form = 1.29 eV/atom
Magnetization = 1.4 μB/f.u.

***

First-principles (PBE) data for KZnW2 after structural relaxation, as listed in Alexandria.

The structure in extended XYZ format:
```
8
Lattice="-2.3683 2.3683 9.8360 2.3683 -2.3683 9.8360 2.3683 2.3683 -9.8360" Properties=species:S:1:pos:R:3 pbc="T T T"
K 0.0000 0.0000 0.0000
K 0.0000 2.3683 4.9180
Zn 2.3683 0.0000 4.9180
Zn 0.0000 0.0000 9.8360
W 1.1841 2.2403 -2.4590
W 2.4963 1.1841 2.4590
W 1.1841 0.1280 7.3770
W -0.1280 1.1841 12.2950
```

Values from the calculation:
Volume = 110.3 Å³/f.u.
Space-group type = I-42d (122)
E_form = 1.78 eV/atom
Magnetization = 0.0 μB/f.u.

***

First-principles (PBE) data for KZnW2 after structural relaxation, as listed in Alexandria.

The structure in extended XYZ format:
```
4
Lattice="2.6854 0.0000 0.0000 0.0000 5.1364 0.0000 0.0000 0.0000 5.5645" Properties=species:S:1:pos:R:3 pbc="T T T"
K 0.0000 0.0000 0.0000
Zn 1.3427 2.5682 0.0000
W 0.0000 2.5682 2.7823
W 1.3427 0.0000 2.7823
```

Values from the calculation:
Volume = 76.8 Å³/f.u.
Space-group type = Pmmm (47)
E_form = 1.29 eV/atom
Magnetization = 0.4 μB/f.u.

***

First-principles (PBE) data for KZn2W after structural relaxation, as listed in Alexandria.

The structure in extended XYZ format:
```
8
Lattice="-2.5911 2.5911 9.0658 2.5911 -2.5911 9.0658 2.5911 2.5911 -9.0658" Properties=species:S:1:pos:R:3 pbc="T T T"
K 0.0000 0.0000 0.0000
K 0.0000 2.5911 4.5329
Zn 1.2955 2.5843 -2.2665
Zn 2.5978 1.2955 2.2665
Zn 1.2955 0.0068 6.7994
Zn -0.0068 1.2955 11.3323
W 2.5911 0.0000 4.5329
W 0.0000 0.0000 9.0658
```

Values from the calculation:
Volume = 121.7 Å³/f.u.
Space-group type = I-42d (122)
Excess energy over the best structure of this formula in the dataset = 2.68 eV per formula unit
E_form = 1.20 eV/atom
Magnetization = 3.1 μB/f.u.

***

First-principles (PBE) data for KZnW2 after structural relaxation, as listed in Alexandria.

The structure in extended XYZ format:
```
4
Lattice="2.6892 0.0000 0.0000 0.0000 2.6892 0.0000 0.0000 0.0000 10.4710" Properties=species:S:1:pos:R:3 pbc="T T T"
K 0.0000 0.0000 0.0000
Zn 0.0000 0.0000 5.2355
W 1.3446 1.3446 3.1242
W 1.3446 1.3446 7.3468
```

Values from the calculation:
Volume = 75.7 Å³/f.u.
Space-group type = P4/mmm (123)
E_form = 1.01 eV/atom
Magnetization = 0.0 μB/f.u.

***

First-principles (PBE) data for KZnW2 after structural relaxation, as listed in Alexandria.

The structure in extended XYZ format:
```
4
Lattice="1.6098 -2.1773 0.0000 1.6098 2.1773 0.0000 0.0000 0.0000 10.6868" Properties=species:S:1:pos:R:3 pbc="T T T"
K 0.0000 0.0000 0.0000
Zn 0.0000 0.0000 5.3434
W 1.6098 0.0000 3.1305
W 1.6098 0.0000 7.5563
```

Values from the calculation:
Volume = 74.9 Å³/f.u.
Space-group type = Cmmm (65)
E_form = 0.96 eV/atom
Magnetization = 0.0 μB/f.u.

***

First-principles (PBE) data for KZn2W after structural relaxation, as listed in Alexandria.

The structure in extended XYZ format:
```
4
Lattice="2.5699 0.0000 0.0000 0.0000 5.3265 0.0000 0.0000 0.0000 6.3868" Properties=species:S:1:pos:R:3 pbc="T T T"
K 0.0000 0.0000 0.0000
Zn 0.0000 2.6632 3.1934
Zn 1.2849 2.6632 0.0000
W 1.2849 0.0000 3.1934
```

Values from the calculation:
Volume = 87.4 Å³/f.u.
Space-group type = Pmmm (47)
Excess energy over the best structure of this formula in the dataset = 2.45 eV per formula unit
E_form = 1.14 eV/atom
Magnetization = 0.6 μB/f.u.

***

First-principles (PBE) data for KZnW2 after structural relaxation, as listed in Alexandria.

The structure in extended XYZ format:
```
4
Lattice="1.4117 0.8151 10.8867 -1.4117 0.8151 10.8867 0.0000 -1.6301 10.8867" Properties=species:S:1:pos:R:3 pbc="T T T"
K 0.0000 0.0000 0.0000
Zn 0.0000 0.0000 16.3300
W 0.0000 0.0000 7.7296
W 0.0000 0.0000 24.9304
```

Values from the calculation:
Volume = 75.2 Å³/f.u.
Space-group type = R-3m (166)
E_form = 1.00 eV/atom
Magnetization = 0.0 μB/f.u.

***

First-principles (PBE) data for KZnW2 after structural relaxation, as listed in Alexandria.

The structure in extended XYZ format:
```
4
Lattice="2.6677 0.0000 0.0000 0.0000 4.0528 0.0000 0.0000 0.0000 8.1536" Properties=species:S:1:pos:R:3 pbc="T T T"
K 0.0000 0.0000 0.0000
Zn 1.3338 2.0264 5.5981
W 0.0000 0.0000 4.1801
W 1.3338 2.0264 2.8190
```

Values from the calculation:
Volume = 88.2 Å³/f.u.
Space-group type = Pmm2 (25)
E_form = 0.77 eV/atom
Magnetization = 0.0 μB/f.u.

***

First-principles (PBE) data for KZnW2 after structural relaxation, as listed in Alexandria.

The structure in extended XYZ format:
```
4
Lattice="2.7500 -5.3144 0.0000 2.7500 5.3144 0.0000 0.0000 0.0000 2.6319" Properties=species:S:1:pos:R:3 pbc="T T T"
K 0.0000 0.0000 0.0000
Zn 2.7500 0.0000 0.0000
W 1.3750 2.6572 1.3160
W 1.3750 -2.6572 1.3160
```

Values from the calculation:
Volume = 76.9 Å³/f.u.
Space-group type = Cmmm (65)
E_form = 1.42 eV/atom
Magnetization = 0.0 μB/f.u.